No. 1
Here is K2ZnCr after structural relaxation from Alexandria via LeMat-Bulk. Energies are from PBE. Values from VASP.

```
&SYSTEM
  ibrav = 0, nat = 4, ntyp = 3
/
ATOMIC_SPECIES
Cr 52.00 Cr.upf
K 39.10 K.upf
Zn 65.41 Zn.upf
CELL_PARAMETERS angstrom
4.825 0.000 0.000
0.000 5.222 -0.002
0.000 2.605 6.218
ATOMIC_POSITIONS angstrom
Cr 2.413 4.889 4.422
K 0.000 7.502 5.765
K 2.413 2.281 2.019
Zn 0.000 4.894 3.334
```

E   -2.7057 eV per atom
D(E_F)   2.16 states/eV per cell
Crystal system   monoclinic

---

No. 2
Here is KZn2Cr after structural relaxation from Alexandria via LeMat-Bulk. Energies are from PBE. Values from VASP.

```
&SYSTEM
  ibrav = 0, nat = 4, ntyp = 3
/
ATOMIC_SPECIES
Cr 52.00 Cr.upf
K 39.10 K.upf
Zn 65.41 Zn.upf
CELL_PARAMETERS angstrom
-2.850 -7.886 -5.312
0.042 -7.331 -6.693
-0.148 -9.098 -3.969
ATOMIC_POSITIONS angstrom
Cr -0.739 -6.079 -3.993
K -2.217 -18.236 -11.980
Zn -2.906 -23.908 -15.707
Zn -1.527 -12.564 -8.254
```

E   -2.7402 eV per atom
D(E_F)   2.65 states/eV per cell
Offset from the most stable computed form   0.2589 eV per atom
Crystal system   trigonal

---

No. 3
Here is K2ZnCr after structural relaxation from Alexandria via LeMat-Bulk. Energies are from PBE. Values from VASP.

```
&SYSTEM
  ibrav = 0, nat = 4, ntyp = 3
/
ATOMIC_SPECIES
Cr 52.00 Cr.upf
K 39.10 K.upf
Zn 65.41 Zn.upf
CELL_PARAMETERS angstrom
-3.326 -2.379 0.842
0.815 -2.499 -3.842
5.145 -7.158 0.095
ATOMIC_POSITIONS angstrom
Cr 2.807 -8.432 -2.390
K 0.830 -2.514 -3.828
K 2.966 -4.813 -1.888
Zn -0.173 -3.604 -0.516
```

E   -2.5465 eV per atom
D(E_F)   1.94 states/eV per cell
Crystal system   monoclinic

---

No. 4
Here is KZn4Cr after structural relaxation from Alexandria via LeMat-Bulk. Energies are from PBE. Values from VASP.

```
&SYSTEM
  ibrav = 0, nat = 6, ntyp = 3
/
ATOMIC_SPECIES
K 39.10 K.upf
Zn 65.41 Zn.upf
Cr 52.00 Cr.upf
CELL_PARAMETERS angstrom
0.000 3.842 3.842
3.842 0.000 3.842
3.842 3.842 0.000
ATOMIC_POSITIONS angstrom
K 0.000 0.000 0.000
Zn 2.895 4.788 4.788
Zn 4.788 4.788 2.895
Zn 4.788 2.895 4.788
Zn 2.895 2.895 2.895
Cr 5.763 5.763 5.763
```

E   -2.3423 eV per atom
D(E_F)   1.83 states/eV per cell
Crystal system   cubic

---

No. 5
Here is KZnCr2 after structural relaxation from Alexandria via LeMat-Bulk. Energies are from PBE. Values from VASP.

```
&SYSTEM
  ibrav = 0, nat = 4, ntyp = 3
/
ATOMIC_SPECIES
Cr 52.00 Cr.upf
K 39.10 K.upf
Zn 65.41 Zn.upf
CELL_PARAMETERS angstrom
3.124 0.000 0.000
0.000 5.425 0.000
0.000 0.000 5.288
ATOMIC_POSITIONS angstrom
Cr 0.000 0.000 0.000
Cr 1.562 2.712 0.000
K 1.562 0.000 2.644
Zn 0.000 2.712 2.644
```

E   -4.2659 eV per atom
D(E_F)   3.05 states/eV per cell
Crystal system   orthorhombic

---

No. 6
Here is KZn2Cr after structural relaxation from Alexandria via LeMat-Bulk. Energies are from PBE. Values from VASP.

```
&SYSTEM
  ibrav = 0, nat = 4, ntyp = 3
/
ATOMIC_SPECIES
Cr 52.00 Cr.upf
K 39.10 K.upf
Zn 65.41 Zn.upf
CELL_PARAMETERS angstrom
-1.023 -0.069 3.187
2.025 -2.599 0.594
6.058 5.189 2.058
ATOMIC_POSITIONS angstrom
Cr 2.484 2.128 0.844
K 5.106 2.611 3.455
Zn 0.466 0.399 0.158
Zn 2.031 -0.023 2.410
```

E   -2.8266 eV per atom
D(E_F)   2.53 states/eV per cell
Offset from the most stable computed form   0.1725 eV per atom
Crystal system   tetragonal

---

No. 7
Here is KZn2Cr after structural relaxation from Alexandria via LeMat-Bulk. Energies are from PBE. Values from VASP.

```
&SYSTEM
  ibrav = 0, nat = 4, ntyp = 3
/
ATOMIC_SPECIES
Cr 52.00 Cr.upf
K 39.10 K.upf
Zn 65.41 Zn.upf
CELL_PARAMETERS angstrom
-1.613 -1.319 4.576
3.180 -2.104 3.277
1.517 2.579 4.041
ATOMIC_POSITIONS angstrom
Cr 1.542 -0.422 5.947
K 2.313 -0.633 8.921
Zn 0.000 0.000 0.000
Zn 0.771 -0.211 2.974
```

E   -2.5993 eV per atom
D(E_F)   2.92 states/eV per cell
Offset from the most stable computed form   0.3997 eV per atom
Crystal system   cubic

---

No. 8
Here is K2ZnCr after structural relaxation from Alexandria via LeMat-Bulk. Energies are from PBE. Values from VASP.

```
&SYSTEM
  ibrav = 0, nat = 4, ntyp = 3
/
ATOMIC_SPECIES
Cr 52.00 Cr.upf
K 39.10 K.upf
Zn 65.41 Zn.upf
CELL_PARAMETERS angstrom
3.772 0.000 0.000
0.000 3.772 0.000
0.000 0.000 10.021
ATOMIC_POSITIONS angstrom
Cr 1.886 1.886 7.515
K 0.000 0.000 0.050
K 0.000 0.000 4.960
Zn 1.886 1.886 2.505
```

E   -2.5443 eV per atom
D(E_F)   1.41 states/eV per cell
Crystal system   tetragonal